No. 1
Computed, not measured: a relaxed structure of PmHo2Pd at the PBE level of DFT.

a b c (Å): 9.455 9.455 9.455
angles (deg): 23.51 23.51 23.51
Atoms (fractional coordinates):
Pm 0.000 0.000 0.000
Ho 0.561 0.561 0.561
Ho 0.769 0.769 0.769
Pd 0.164 0.164 0.164

Properties
**N(E_F)**: 4.29 states/eV/f.u.
**E above lowest polymorph**: 0.1459 eV/atom
**SG**: No. 160
**Final energy**: -20.367 eV for the cell shown

---

No. 2
Computed, not measured: a relaxed structure of Tl2AgPt at the PBE level of DFT.

a b c (Å): 5.427 5.427 5.427
angles (deg): 132.74 132.74 69.06
Atoms (fractional coordinates):
Tl 0.000 0.000 0.000
Tl 0.750 0.250 0.500
Ag 0.250 0.750 0.500
Pt 0.500 0.500 0.000

Properties
**N(E_F)**: 1.00 states/eV/f.u.
**E above lowest polymorph**: 0.0733 eV/atom
**SG**: No. 119
**Final energy**: -13.075 eV for the cell shown

---

No. 3
Computed, not measured: a relaxed structure of CeY6ErTm2 at the PBE level of DFT.

a b c (Å): 8.701 8.701 9.592
angles (deg): 94.62 94.62 116.21
Atoms (fractional coordinates):
Ce 0.092 0.908 0.750
Ce 0.908 0.092 0.250
Y 0.011 0.801 0.384
Y 0.068 0.516 0.183
Y 0.199 0.989 0.116
Y 0.254 0.616 0.557
Y 0.384 0.746 0.943
Y 0.484 0.932 0.317
Y 0.516 0.068 0.683
Y 0.616 0.254 0.057
Y 0.746 0.384 0.443
Y 0.801 0.011 0.884
Y 0.932 0.484 0.817
Y 0.989 0.199 0.616
Er 0.472 0.528 0.250
Er 0.528 0.472 0.750
Tm 0.211 0.307 0.950
Tm 0.307 0.211 0.450
Tm 0.693 0.789 0.550
Tm 0.789 0.693 0.050

Properties
**N(E_F)**: 19.54 states/eV/f.u.
**SG**: No. 15
**Final energy**: -113.341 eV for the cell shown